# 1
{"formula": "CdIr2Cl", "functional": "PBE-GGA", "state": "optimized geometry", "e_above_lowest_polymorph_mev_per_atom": 128.9, "vol_a3_per_fu": 82, "total_magnetization_mub_per_cell": 0.0, "final_energy_ev_per_atom": -4.7968, "raw_formation_energy_ev_per_fu": 1.297, "lattice_angstrom": [[-2.011, 1.937, 0.805], [0.376, -1.080, 3.539], [5.435, 5.219, 1.015]], "species": ["Ir", "Cl", "Cd", "Ir"], "frac_coords": [[0.500, 0.500, 0.220], [0.500, 0.500, 0.697], [0.000, 0.000, 0.485], [0.000, 0.000, 0.097]]}

# 2
{"formula": "CdIrCl4", "functional": "PBE-GGA", "state": "optimized geometry", "vol_a3_per_fu": 136, "total_magnetization_mub_per_cell": 3.7, "final_energy_ev_per_atom": -1.7146, "raw_formation_energy_ev_per_fu": 6.875, "lattice_angstrom": [[-5.326, -1.688, 1.443], [-4.572, 2.230, -2.726], [-3.073, -3.269, -3.629]], "species": ["Cd", "Cl", "Ir", "Cl", "Cl", "Cl"], "frac_coords": [[0.000, 0.000, 0.000], [0.872, 0.376, 0.376], [0.750, 0.750, 0.750], [0.376, 0.376, 0.376], [0.376, 0.376, 0.872], [0.376, 0.872, 0.376]]}

# 3
{"formula": "CdIrCl2", "functional": "PBE-GGA", "state": "optimized geometry", "e_above_lowest_polymorph_mev_per_atom": 816.2, "vol_a3_per_fu": 74, "total_magnetization_mub_per_cell": 0.0, "final_energy_ev_per_atom": -2.7287, "raw_formation_energy_ev_per_fu": 2.555, "lattice_angstrom": [[3.908, 0.000, 0.000], [0.000, 4.358, 0.000], [0.000, 0.000, 4.358]], "species": ["Cl", "Cl", "Cd", "Ir"], "frac_coords": [[0.000, 0.500, 0.500], [0.000, 0.000, 0.000], [0.500, 0.000, 0.500], [0.500, 0.500, 0.000]]}

# 4
{"formula": "CdIr2Cl", "functional": "PBE-GGA", "state": "optimized geometry", "e_above_lowest_polymorph_mev_per_atom": 658.3, "vol_a3_per_fu": 71, "total_magnetization_mub_per_cell": 1.3, "final_energy_ev_per_atom": -4.2674, "raw_formation_energy_ev_per_fu": 3.414, "lattice_angstrom": [[2.815, 0.000, 0.000], [0.000, 4.438, 0.000], [0.000, 0.000, 5.717]], "species": ["Ir", "Cd", "Ir", "Cl"], "frac_coords": [[0.000, 0.000, 0.030], [0.500, 0.500, 0.250], [0.000, 0.000, 0.470], [0.500, 0.500, 0.750]]}